A | ZrHgSe2Br (PBEsol, relaxed); calculated density = 6.47 g/cm³; magnetization = 1.3 μB per formula unit; Fermi-level density of states = 6.161 states/eV/f.u.
1.0
-4.808 -1.356 -1.189
0.070 -3.524 3.734
-1.811 3.496 3.333
Se Br Zr Hg
2 1 1 1
direct
0.000 0.500 0.000
0.500 0.000 0.000
0.000 0.000 0.500
0.500 0.500 0.500
0.000 0.000 0.000

---

B | ZrHgSe2Br (PBEsol, relaxed); calculated density = 6.24 g/cm³; magnetization = 0.0 μB per formula unit; Fermi-level density of states = 3.418 states/eV/f.u.
1.0
-0.178 -5.150 -0.193
2.905 -0.260 4.253
-4.377 0.039 2.992
Se Hg Zr Br
2 1 1 1
direct
0.500 0.000 0.000
0.000 0.500 0.000
0.500 0.500 0.500
0.000 0.000 0.000
0.000 0.000 0.500

---

It turns out B is the most stable, with the second structure 1077 meV/atom higher.

---

A | SiHg2Br (PBEsol, relaxed); calculated density = 9.10 g/cm³; magnetization = 0.0 μB per formula unit; Fermi-level density of states = 1.582 states/eV/f.u.
1.0
-2.046 1.455 2.063
-4.001 -3.402 -1.568
3.388 -1.657 4.528
Si Hg Br
1 2 1
direct
0.500 0.000 0.000
0.000 0.500 0.500
0.000 0.000 0.500
0.500 0.500 0.000

---

B | SiHg2Br (PBEsol, relaxed); calculated density = 8.48 g/cm³; magnetization = 0.0 μB per formula unit; Fermi-level density of states = 1.286 states/eV/f.u.
1.0
-2.688 1.899 1.467
-3.443 -2.885 -2.573
1.518 -1.999 5.370
Br Hg Si
1 2 1
direct
0.500 0.500 0.500
0.000 0.812 0.125
0.000 0.188 0.875
0.500 0.000 0.500

---

C | SiHg2Br (PBEsol, relaxed); calculated density = 9.53 g/cm³; magnetization = 0.0 μB per formula unit; Fermi-level density of states = 1.158 states/eV/f.u.
1.0
-0.013 -0.011 -3.442
-0.064 -3.441 0.011
-7.486 0.140 0.027
Hg Br Si
2 1 1
direct
0.000 0.000 0.779
0.000 0.000 0.221
0.500 0.500 0.500
0.500 0.500 0.000

---

It turns out B is the most stable, with the second structure 121 meV/atom higher.

---

A | SrHgBr2 (PBEsol, relaxed); calculated density = 4.82 g/cm³; magnetization = 0.0 μB per formula unit; Fermi-level density of states = 0.000 states/eV/f.u.
1.0
-3.959 2.086 0.367
0.161 -4.485 -0.238
1.771 1.806 8.836
Br Hg Sr
2 1 1
direct
0.775 0.550 0.823
0.225 0.450 0.177
0.000 0.000 0.500
0.500 0.000 0.000

---

B | SrHgBr2 (PBEsol, relaxed); calculated density = 6.64 g/cm³; magnetization = 0.0 μB per formula unit
1.0
4.255 0.000 0.000
0.000 5.130 0.000
0.000 0.000 5.130
Sr Br Hg
1 2 1
direct
0.500 0.000 0.000
0.000 0.500 0.000
0.000 0.000 0.500
0.500 0.500 0.500

---

It turns out A is the most stable, with the second structure 143 meV/atom higher.

---

A | TcHgBr2 (PBEsol, relaxed); calculated density = 7.38 g/cm³; magnetization = 1.4 μB per formula unit; Fermi-level density of states = 2.318 states/eV/f.u.
1.0
-1.897 -2.519 0.193
5.083 -1.869 -0.305
-1.841 1.875 6.387
Tc Hg Br
1 1 2
direct
0.300 0.599 0.625
0.564 0.127 0.625
0.733 0.466 0.315
0.904 0.807 0.935

---

B | TcHgBr2 (PBEsol, relaxed); calculated density = 7.74 g/cm³; magnetization = 0.9 μB per formula unit; Fermi-level density of states = 2.610 states/eV/f.u.
1.0
-0.050 3.176 -0.446
-1.801 -0.600 -4.072
-5.349 0.584 4.754
Tc Br Hg
1 2 1
direct
0.500 0.018 0.661
0.000 0.156 0.938
0.500 0.840 0.304
0.000 0.486 0.598

---

C | TcHgBr2 (PBEsol, relaxed); calculated density = 8.30 g/cm³; magnetization = 4.4 μB per formula unit; Fermi-level density of states = 3.802 states/eV/f.u.
1.0
5.062 0.000 0.000
2.531 4.384 0.000
2.531 1.461 4.133
Hg Br Tc
1 2 1
direct
0.500 0.500 0.500
0.250 0.250 0.250
0.750 0.750 0.750
0.000 0.000 0.000

---

It turns out B is the most stable, with the second structure 29 meV/atom higher.